one | Here is an optimized crystal structure of Tb6DyCd from Alexandria via LeMat-Bulk. Energies are from PBE.

The structure in POSCAR format:
```
Tb6DyCd
1.0
-2.8145 2.5022 -3.1616
-3.6804 -0.0198 3.2607
3.3590 8.6351 3.8437
Tb Dy Cd
6 1 1
Direct
0.0000 0.5000 0.2548 Tb
0.5000 0.0000 0.7452 Tb
0.5000 0.5000 0.0000 Tb
0.5000 0.5000 0.5000 Tb
0.5000 0.0000 0.2548 Tb
0.0000 0.5000 0.7452 Tb
0.0000 0.0000 0.0000 Dy
0.0000 0.0000 0.5000 Cd
```

Properties
Density, g/cm3: 8.41



two | Here is an optimized crystal structure of Tb6DyCd from Alexandria via LeMat-Bulk. Energies are from PBE.

The structure in POSCAR format:
```
Tb6DyCd
1.0
9.2610 0.0041 0.1484
4.6350 7.2184 -0.2112
4.5722 2.2726 3.7108
Tb Dy Cd
6 1 1
Direct
0.9598 0.5505 0.2481 Tb
0.4494 0.7584 0.8324 Tb
0.5506 0.2416 0.1676 Tb
0.7584 0.9598 0.7311 Tb
0.2416 0.0402 0.2689 Tb
0.0402 0.4495 0.7519 Tb
0.5000 0.5000 0.5000 Dy
0.0000 0.0000 0.0000 Cd
```

Properties
Density, g/cm3: 8.19



Short version: one is the most stable of them.



one | Here is an optimized crystal structure of Tb3Dy4Cd from Alexandria via LeMat-Bulk. Energies are from PBE.

The structure in POSCAR format:
```
Tb3Dy4Cd
1.0
-0.0992 3.3664 -1.1507
-2.9246 -0.7326 -1.8912
-10.9158 4.8113 15.0164
Cd Tb Dy
1 3 4
Direct
0.5000 0.5000 0.0000 Cd
0.5000 0.5000 0.2384 Tb
0.5000 0.5000 0.5000 Tb
0.5000 0.5000 0.7616 Tb
0.0000 0.0000 0.1086 Dy
0.0000 0.0000 0.3692 Dy
0.0000 0.0000 0.8914 Dy
0.0000 0.0000 0.6308 Dy
```

Properties
Density, g/cm3: 8.47



two | Here is an optimized crystal structure of Tb3Dy4Cd from Alexandria via LeMat-Bulk. Energies are from PBE.

The structure in POSCAR format:
```
Tb3Dy4Cd
1.0
-0.9643 3.3523 5.0962
-6.0592 2.3082 -2.6649
-5.3445 -8.6376 4.6704
Dy Tb Cd
8 6 2
Direct
0.9884 0.1274 0.7600 Dy
0.6365 0.1297 0.0000 Dy
0.9884 0.1274 0.2400 Dy
0.4884 0.8726 0.7400 Dy
0.6649 0.1198 0.5000 Dy
0.1365 0.8703 0.5000 Dy
0.4884 0.8726 0.2600 Dy
0.1649 0.8802 0.0000 Dy
0.4774 0.3810 0.7382 Tb
0.9774 0.6190 0.2382 Tb
0.9774 0.6190 0.7618 Tb
0.4774 0.3810 0.2618 Tb
0.6295 0.6279 0.0000 Tb
0.1295 0.3721 0.5000 Tb
0.1527 0.3764 0.0000 Cd
0.6527 0.6236 0.5000 Cd
```

Properties
Density, g/cm3: 8.50



Short version: one is the most stable of them.



one | Here is an optimized crystal structure of TbDyYCd from Alexandria via LeMat-Bulk. Energies are from PBE.

The structure in POSCAR format:
```
TbDyYCd
1.0
-0.3722 -2.1205 -5.0081
-2.0479 -5.0038 -0.6959
-4.8855 -0.6457 -2.3303
Dy Cd Y Tb
1 1 1 1
Direct
0.5000 0.5000 0.5000 Dy
0.0000 0.0000 0.0000 Cd
0.2500 0.2500 0.2500 Y
0.7500 0.7500 0.7500 Tb
```

Properties
Density, g/cm3: 7.58



two | Here is an optimized crystal structure of TbDyYCd from Alexandria via LeMat-Bulk. Energies are from PBE.

The structure in POSCAR format:
```
TbDyYCd
1.0
3.5940 0.0000 0.0000
0.0000 3.5940 0.0000
0.0000 0.0000 9.0542
Cd Tb Dy Y
1 1 1 1
Direct
0.0000 0.0000 0.5704 Cd
0.0000 0.0000 0.0728 Tb
0.5000 0.5000 0.3445 Dy
0.5000 0.5000 0.7970 Y
```

Properties
Density, g/cm3: 7.42



Short version: two is the most stable of them.



one | Here is an optimized crystal structure of DyThCd4 from Alexandria via LeMat-Bulk. Energies are from PBE.

The structure in POSCAR format:
```
DyThCd4
1.0
3.4095 0.0044 -0.0018
-0.0067 5.0395 -0.0108
0.0028 0.0185 8.7574
Cd Th Dy
4 1 1
Direct
0.7505 0.4973 0.6600 Cd
0.7517 0.9973 0.1704 Cd
0.7518 0.4973 0.3362 Cd
0.7511 0.9973 0.8259 Cd
0.2514 0.4973 0.9982 Th
0.2514 0.9973 0.4981 Dy
```

Properties
Density, g/cm3: 9.32



two | Here is an optimized crystal structure of DyThCd4 from Alexandria via LeMat-Bulk. Energies are from PBE.

The structure in POSCAR format:
```
DyThCd4
1.0
-1.8830 -3.8825 -0.2791
3.5581 -1.8425 1.6255
-4.0367 3.8317 7.4280
Dy Th Cd
1 1 4
Direct
0.0000 0.0000 0.0000 Dy
0.2500 0.7500 0.5000 Th
0.4224 0.4224 0.8448 Cd
0.8298 0.3298 0.6596 Cd
0.5776 0.5776 0.1552 Cd
0.6702 0.1702 0.3404 Cd
```

Properties
Density, g/cm3: 8.56



three | Here is an optimized crystal structure of DyThCd4 from Alexandria via LeMat-Bulk. Energies are from PBE.

The structure in POSCAR format:
```
DyThCd4
1.0
5.9493 0.0000 0.0000
2.9746 5.1522 0.0000
2.9746 1.7174 4.8576
Cd Th Dy
4 1 1
Direct
0.1260 0.6247 0.6247 Cd
0.6247 0.6247 0.1260 Cd
0.6247 0.1260 0.6247 Cd
0.6247 0.6247 0.6247 Cd
0.0000 0.0000 0.0000 Th
0.2500 0.2500 0.2500 Dy
```

Properties
Density, g/cm3: 9.41



Short version: one is the most stable of them.



one | Here is an optimized crystal structure of Dy2ThCd from Alexandria via LeMat-Bulk. Energies are from PBE.

The structure in POSCAR format:
```
Dy2ThCd
1.0
-2.5277 -1.8046 -1.6697
0.4503 -0.9658 -3.3612
4.2270 -11.1403 1.9180
Cd Dy Th
1 2 1
Direct
0.0000 0.0000 0.0000 Cd
0.0894 0.0894 0.7319 Dy
0.9106 0.9106 0.2681 Dy
0.5000 0.5000 0.5000 Th
```

Properties
Density, g/cm3: 8.68



two | Here is an optimized crystal structure of Dy2ThCd from Alexandria via LeMat-Bulk. Energies are from PBE.

The structure in POSCAR format:
```
Dy2ThCd
1.0
-4.2361 1.7183 1.6795
-2.0970 -0.9632 -4.3036
-1.1862 -4.4666 1.5777
Dy Cd Th
2 1 1
Direct
0.0000 0.0000 0.5000 Dy
0.0000 0.5000 0.0000 Dy
0.5000 0.0000 0.0000 Cd
0.5000 0.5000 0.5000 Th
```

Properties
Density, g/cm3: 9.57



three | Here is an optimized crystal structure of Dy2ThCd from Alexandria via LeMat-Bulk. Energies are from PBE.

The structure in POSCAR format:
```
Dy2ThCd
1.0
5.4718 0.0000 0.0000
2.7359 4.7387 0.0000
2.7359 1.5796 4.4677
Cd Dy Th
1 2 1
Direct
0.0000 0.0000 0.0000 Cd
0.7500 0.7500 0.7500 Dy
0.2500 0.2500 0.2500 Dy
0.5000 0.5000 0.5000 Th
```

Properties
Density, g/cm3: 9.60



Short version: two is the most stable of them.



one | Here is an optimized crystal structure of Dy2ThCd from Alexandria via LeMat-Bulk. Energies are from PBE.

The structure in POSCAR format:
```
Dy2ThCd
1.0
-2.2178 2.5271 1.1883
-3.0435 -0.9155 1.6175
3.3539 0.5082 10.5296
Th Cd Dy
1 1 2
Direct
0.5002 0.5002 0.4994 Th
0.6664 0.6664 0.0007 Cd
0.2560 0.2560 0.2319 Dy
0.0773 0.0773 0.7680 Dy
```

Properties
Density, g/cm3: 9.29



two | Here is an optimized crystal structure of Dy2ThCd from Alexandria via LeMat-Bulk. Energies are from PBE.

The structure in POSCAR format:
```
Dy2ThCd
1.0
-2.5446 2.5590 -0.0906
-2.1814 -2.0995 1.9659
3.2872 3.5313 7.4186
Dy Th Cd
2 1 1
Direct
0.0000 0.0000 0.7692 Dy
0.0000 0.0000 0.2308 Dy
0.5000 0.5000 0.5000 Th
0.5000 0.5000 0.0000 Cd
```

Properties
Density, g/cm3: 9.64



Short version: two is the most stable of them.